[1]
Compound: Ho6RuRh2
Source: the Alexandria database
Functional: PBE
Structure: relaxed

Summary:
As for the total energy: -6.244 eV per atom. The calculation puts the formation energy at -0.5280 eV/atom.

a b c (Å): 6.5567 7.2391 11.3899
angles (deg): 90.00 122.76 90.00
Element x y z (fractional)
1 Ho 0.0825 0.0364 0.2432
2 Ho 0.0825 0.4636 0.7432
3 Ho 0.2254 0.6681 0.0736
4 Ho 0.2254 0.8319 0.5736
5 Ho 0.3941 0.1740 0.0708
6 Ho 0.3941 0.3260 0.5708
7 Ho 0.6059 0.6740 0.4292
8 Ho 0.6059 0.8260 0.9292
9 Ho 0.7746 0.1681 0.4264
10 Ho 0.7746 0.3319 0.9264
11 Ho 0.9175 0.5364 0.2568
12 Ho 0.9175 0.9636 0.7568
13 Ru 0.5000 0.0000 0.5000
14 Ru 0.5000 0.5000 0.0000
15 Rh 0.3239 0.1342 0.7836
16 Rh 0.3239 0.3658 0.2836
17 Rh 0.6761 0.6342 0.7164
18 Rh 0.6761 0.8658 0.2164

---

[2]
Compound: Ac2ScH12Rh3
Source: the Alexandria database
Functional: PBE
Structure: relaxed

Summary:
As for the total energy: -4.657 eV per atom.

a b c (Å): 6.1049 6.1049 6.1049
angles (deg): 66.99 66.99 66.99
Element x y z (fractional)
1 Ac 0.1251 0.1251 0.1251
2 Ac 0.8749 0.8749 0.8749
3 Sc 0.5000 0.5000 0.5000
4 H 0.1299 0.6151 0.6151
5 H 0.1993 0.1993 0.5960
6 H 0.1993 0.5960 0.1993
7 H 0.3849 0.3849 0.8701
8 H 0.3849 0.8702 0.3849
9 H 0.4040 0.8007 0.8007
10 H 0.5960 0.1993 0.1993
11 H 0.6151 0.1299 0.6151
12 H 0.6151 0.6151 0.1299
13 H 0.8007 0.4040 0.8007
14 H 0.8007 0.8007 0.4040
15 H 0.8701 0.3849 0.3849
16 Rh 0.0000 0.5000 0.5000
17 Rh 0.5000 0.0000 0.5000
18 Rh 0.5000 0.5000 0.0000

---

[3]
Compound: NaZnBiSe3
Source: the Alexandria database
Functional: PBE
Structure: relaxed

Summary:
As for the total energy: -3.495 eV per atom. Its formation energy (no corrections) is -674 meV per atom.

a b c (Å): 8.8049 4.1293 9.4692
angles (deg): 90.00 100.87 90.00
Element x y z (fractional)
1 Na 0.1763 0.2500 0.2102
2 Na 0.8237 0.7500 0.7898
3 Zn 0.0857 0.2500 0.5967
4 Zn 0.9143 0.7500 0.4033
5 Bi 0.3397 0.7500 0.8557
6 Bi 0.6603 0.2500 0.1443
7 Se 0.1044 0.2500 0.8614
8 Se 0.2053 0.7500 0.5079
9 Se 0.4156 0.7500 0.1559
10 Se 0.5844 0.2500 0.8441
11 Se 0.7947 0.2500 0.4921
12 Se 0.8956 0.7500 0.1386

---

[4]
Compound: LaSbRh
Source: the Alexandria database
Functional: PBE
Structure: relaxed

Summary:
As for the total energy: -6.484 eV per atom. Its formation energy (no corrections) is -1017 meV per atom.

a b c (Å): 7.5719 4.7128 7.9407
angles (deg): 90.00 90.00 90.00
Element x y z (fractional)
1 La 0.0166 0.2500 0.1970
2 La 0.4834 0.7500 0.6970
3 La 0.5166 0.2500 0.3030
4 La 0.9834 0.7500 0.8030
5 Sb 0.1840 0.2500 0.5885
6 Sb 0.3160 0.7500 0.0885
7 Sb 0.6840 0.2500 0.9115
8 Sb 0.8160 0.7500 0.4115
9 Rh 0.1961 0.7500 0.4152
10 Rh 0.3039 0.2500 0.9152
11 Rh 0.6961 0.7500 0.0848
12 Rh 0.8039 0.2500 0.5848

---

[5]
Compound: CdFe2Br2
Source: the Alexandria database
Functional: PBE
Structure: relaxed

Summary:
As for the total energy: -3.787 eV per atom. Its formation energy (no corrections) is 450 meV per atom.

a b c (Å): 7.2556 7.2556 4.0010
angles (deg): 90.00 90.00 90.00
Element x y z (fractional)
1 Cd 0.0000 0.0000 0.0000
2 Cd 0.5000 0.5000 0.0000
3 Fe 0.1088 0.3912 0.0000
4 Fe 0.3912 0.8912 0.0000
5 Fe 0.6088 0.1088 0.0000
6 Fe 0.8912 0.6088 0.0000
7 Br 0.1609 0.6609 0.5000
8 Br 0.3391 0.1609 0.5000
9 Br 0.6609 0.8391 0.5000
10 Br 0.8391 0.3391 0.5000

---

[6]
Compound: Rb2Li2Ti
Source: the Alexandria database
Functional: PBE
Structure: relaxed

Summary:
As for the total energy: -1.775 eV per atom. The calculation puts the formation energy at 0.9567 eV/atom.

a b c (Å): 8.6611 8.6611 8.6611
angles (deg): 146.26 146.26 48.46
Element x y z (fractional)
1 Rb 0.2500 0.7500 0.5000
2 Rb 0.7500 0.2500 0.5000
3 Li 0.0768 0.0768 0.0000
4 Li 0.9232 0.9232 0.0000
5 Ti 0.5000 0.5000 0.0000